BaTeBr: relaxed, PBE. Values from VASP.

```
&SYSTEM
  ibrav = 0, nat = 3, ntyp = 3
/
ATOMIC_SPECIES
Ba 137.33 Ba.upf
Te 127.60 Te.upf
Br 79.90 Br.upf
CELL_PARAMETERS angstrom
5.487 0.000 0.000
-2.744 4.752 0.000
0.000 0.000 4.485
ATOMIC_POSITIONS crystal
Ba 0.000 0.000 0.000
Te 0.333 0.667 0.500
Br 0.667 0.333 0.000
```

Its symmetry is P-6m2. As for the total energy: -10.40 eV for the cell shown. The raw formation energy is -117.95 kJ per mole of atoms.